(1)
Below is crystalline Sm4ClO5 at its relaxed geometry, with properties calculated at the PBE-GGA level.

a = 5.9160 Å, b = 7.1477 Å, c = 9.0609 Å
α = 90.00°, β = 90.00°, γ = 90.00°
Site moments in Bohr magnetons follow the coordinates.
Element x y z (fractional)
Sm 0.0384 0.0000 0.7135  0.01
Sm 0.4614 0.7423 0.0000  0.08
Sm 0.4614 0.2577 0.0000  0.08
Sm 0.0384 0.0000 0.2865  0.01
Sm 0.9616 0.5000 0.2135  0.01
Sm 0.5386 0.7577 0.5000  0.08
Sm 0.5386 0.2423 0.5000  0.08
Sm 0.9616 0.5000 0.7865  0.01
Cl 0.8303 0.0000 0.0000  0.01
Cl 0.1697 0.5000 0.5000  0.01
O 0.2283 0.7455 0.8158  0.00
O 0.2283 0.2545 0.8158  0.00
O 0.7420 0.5000 0.0000  0.01
O 0.2283 0.7455 0.1842  0.00
O 0.2283 0.2545 0.1842  0.00
O 0.7717 0.7545 0.3158  0.00
O 0.7717 0.2455 0.3158  0.00
O 0.2580 0.0000 0.5000  0.01
O 0.7717 0.2455 0.6842  0.00
O 0.7717 0.7545 0.6842  0.00

Results
**Space group**: Pmmn, No. 59
**Uncorrected formation energy**: -288.4 kJ/mol of atoms

=====

(2)
Below is crystalline PmTh2H8 at its relaxed geometry, with properties calculated at the PBE-GGA level.

a = 3.6121 Å, b = 6.0451 Å, c = 6.4872 Å
α = 117.77°, β = 106.16°, γ = 90.00°
Element x y z (fractional)
Pm 0.5000 0.0000 0.0000
Th 0.1690 0.6690 0.3379
Th 0.8310 0.3310 0.6621
H 0.6643 0.9113 0.3286
H 0.3357 0.5827 0.6714
H 0.1707 0.1707 0.3415
H 0.0000 0.2606 0.0000
H 0.8293 0.8293 0.6585
H 0.6643 0.4173 0.3286
H 0.3357 0.0887 0.6714
H 0.0000 0.7394 0.0000

Results
**Energy**: -4.702 eV per atom
**Space group**: Immm, No. 71

=====

(3)
Below is crystalline BPC at its relaxed geometry, with properties calculated at the PBE-GGA level.

a = 2.8356 Å, b = 7.4930 Å, c = 3.9695 Å
α = 90.00°, β = 128.39°, γ = 90.00°
Element x y z (fractional)
P 0.5000 0.7473 0.5000
P 0.5000 0.2473 0.0000
C 0.0000 0.1053 0.0000
C 0.0000 0.6053 0.5000
B 0.0000 0.9044 0.0000
B 0.0000 0.4044 0.5000

Results
**Space group**: C2, No. 5
**ΔH_f (0 K)**: 0.444 eV/atom

=====

(4)
Below is crystalline Cs2BaNF6 at its relaxed geometry, with properties calculated at the PBE-GGA level.

a = 6.1767 Å, b = 6.1767 Å, c = 7.3218 Å
α = 65.05°, β = 65.05°, γ = 90.00°
Site moments in Bohr magnetons follow the coordinates.
Element x y z (fractional)
Cs 0.7500 0.2500 0.5000  0.00
Cs 0.2500 0.7500 0.5000  0.00
N 0.5000 0.5000 0.0000  0.65
Ba 0.0000 0.0000 0.0000  0.00
F 0.2148 0.2148 0.5703  0.01
F 0.7852 0.7852 0.4297  0.01
F 0.2949 0.2949 0.0000  0.03
F 0.7051 0.7051 0.0000  0.03
F 0.7051 0.2949 0.0000  0.03
F 0.2949 0.7051 0.0000  0.03

Results
**Space group**: I4/mmm, No. 139
**Uncorrected formation energy**: -192.6 kJ/mol of atoms

=====

(5)
Below is crystalline Ga2SiBiN at its relaxed geometry, with properties calculated at the PBE-GGA level.

a = 4.6558 Å, b = 5.4578 Å, c = 4.6558 Å
α = 90.00°, β = 90.00°, γ = 90.00°
Element x y z (fractional)
Si 0.0000 0.0000 0.0000
Bi 0.0000 0.5000 0.0000
Ga 0.0000 0.0000 0.5000
Ga 0.5000 0.0000 0.0000
N 0.5000 0.5000 0.5000

Results
**Space group**: P4/mmm, No. 123
**Uncorrected formation energy**: 129.5 kJ/mol of atoms

=====

(6)
Below is crystalline LiRuO3 at its relaxed geometry, with properties calculated at the PBE-GGA level.

a = 3.4602 Å, b = 3.4602 Å, c = 3.4602 Å
α = 90.00°, β = 90.00°, γ = 90.00°
Site moments in Bohr magnetons follow the coordinates.
Element x y z (fractional)
Ru 0.5000 0.5000 0.5000  0.67
O 0.0000 0.5000 0.0000  -0.21
O 0.0000 0.0000 0.5000  -0.11
O 0.5000 0.0000 0.0000  -0.19
Li 0.0000 0.0000 0.0000  0.00

Results
**Space group**: Pm-3m, No. 221
**Uncorrected formation energy**: 20.7 kJ/mol of atoms

=====

(7)
Below is crystalline KTe2Os at its relaxed geometry, with properties calculated at the PBE-GGA level.

a = 4.5201 Å, b = 4.4298 Å, c = 7.2651 Å
α = 72.22°, β = 90.00°, γ = 90.00°
Element x y z (fractional)
K 0.0000 0.5918 0.4408
Os 0.5000 0.8064 0.0129
Te 0.0000 0.8903 0.8441
Te 0.5000 0.2115 0.2022

Results
**Space group**: Amm2, No. 38
**Uncorrected formation energy**: -0.8 kJ/mol of atoms

=====

(8)
Below is crystalline Tl2PtRh2O6 at its relaxed geometry, with properties calculated at the PBE-GGA level.

a = 5.5320 Å, b = 5.5320 Å, c = 6.5943 Å
α = 98.60°, β = 98.60°, γ = 120.12°
Element x y z (fractional)
Tl 0.8318 0.1682 0.0000
Tl 0.1682 0.8318 0.0000
Pt 0.0000 0.0000 0.5000
Rh 0.3336 0.6664 0.5000
Rh 0.6664 0.3336 0.5000
O 0.7235 0.7235 0.6551
O 0.0554 0.3872 0.6552
O 0.2765 0.2765 0.3449
O 0.3872 0.0554 0.6552
O 0.9446 0.6128 0.3448
O 0.6128 0.9446 0.3448

Results
**Space group**: C2/m, No. 12
**Uncorrected formation energy**: -61.0 kJ/mol of atoms

=====

(9)
Below is crystalline HgOsIO2 at its relaxed geometry, with properties calculated at the PBE-GGA level.

a = 3.8848 Å, b = 3.8848 Å, c = 8.0079 Å
α = 90.00°, β = 90.00°, γ = 90.00°
Element x y z (fractional)
I 0.0000 0.0000 0.5000
Os 0.0000 0.0000 0.0000
Hg 0.5000 0.5000 0.5000
O 0.0000 0.5000 0.0000
O 0.5000 0.0000 0.0000

Results
**Space group**: P4/mmm, No. 123
**Uncorrected formation energy**: -17.0 kJ/mol of atoms

=====

(10)
Below is crystalline RbMo2Pt at its relaxed geometry, with properties calculated at the PBE-GGA level.

a = 4.5586 Å, b = 4.5586 Å, c = 10.2406 Å
α = 77.14°, β = 77.14°, γ = 90.00°
Element x y z (fractional)
Mo 0.7910 0.1250 0.2500
Mo 0.9590 0.6250 0.2500
Mo 0.3750 0.2090 0.7500
Mo 0.8750 0.0410 0.7500
Rb 0.5000 0.5000 0.0000
Rb 0.2500 0.7500 0.5000
Pt 0.0000 0.0000 0.0000
Pt 0.7500 0.2500 0.5000

Results
**Space group**: I-42d, No. 122
**ΔH_f (0 K)**: 1.337 eV/atom

=====

(11)
Below is crystalline PmGdThSc at its relaxed geometry, with properties calculated at the PBE-GGA level.

a = 5.5914 Å, b = 5.5914 Å, c = 5.5914 Å
α = 60.00°, β = 60.00°, γ = 60.00°
Site moments in Bohr magnetons follow the coordinates.
Element x y z (fractional)
Sc 0.0000 0.0000 0.0000  -0.01
Gd 0.7500 0.7500 0.7500  7.21
Th 0.2500 0.2500 0.2500  -0.02
Pm 0.5000 0.5000 0.5000  0.07

Results
**Space group**: F-43m, No. 216
**ΔH_f (0 K)**: 0.147 eV/atom

=====

(12)
Below is crystalline NbPbAu3 at its relaxed geometry, with properties calculated at the PBE-GGA level.

a = 5.2241 Å, b = 5.2241 Å, c = 5.2241 Å
α = 90.00°, β = 90.00°, γ = 90.00°
Site moments in Bohr magnetons follow the coordinates.
Element x y z (fractional)
Pb 0.0000 0.0000 0.0000  -0.03
Nb 0.5000 0.5000 0.5000  2.79
Au 0.0000 0.5000 0.0000  0.00
Au 0.0000 0.0000 0.5000  0.01
Au 0.5000 0.0000 0.0000  0.01

Results
**Space group**: Pm-3m, No. 221
**ΔH_f (0 K)**: 1.228 eV/atom

=====

(13)
Below is crystalline HfMoWN2 at its relaxed geometry, with properties calculated at the PBE-GGA level.

a = 3.9734 Å, b = 5.0500 Å, c = 3.9734 Å
α = 90.00°, β = 90.00°, γ = 90.00°
Element x y z (fractional)
Mo 0.0000 0.0000 0.0000
Hf 0.5000 0.5000 0.5000
W 0.0000 0.5000 0.0000
N 0.0000 0.0000 0.5000
N 0.5000 0.0000 0.0000

Results
**Space group**: P4/mmm, No. 123
**Uncorrected formation energy**: 97.7 kJ/mol of atoms

=====

(14)
Below is crystalline NbZnGa at its relaxed geometry, with properties calculated at the PBE-GGA level.

a = 2.9715 Å, b = 4.3068 Å, c = 4.3068 Å
α = 120.00°, β = 90.00°, γ = 90.00°
Element x y z (fractional)
Nb 0.3333 0.6667 0.3333
Zn 0.8344 0.3333 0.6667
Ga 0.8323 0.0000 0.0000

Results
**Space group**: P-6m2, No. 187
**ΔH_f (0 K)**: -0.125 eV/atom

=====

(15)
Below is crystalline BaYZn2Si at its relaxed geometry, with properties calculated at the PBE-GGA level.

a = 5.0589 Å, b = 5.4159 Å, c = 5.0589 Å
α = 90.00°, β = 90.00°, γ = 90.00°
Element x y z (fractional)
Y 0.0000 0.5000 0.0000
Zn 0.0000 0.0000 0.5000
Zn 0.5000 0.0000 0.0000
Si 0.0000 0.0000 0.0000
Ba 0.5000 0.5000 0.5000

Results
**Space group**: P4/mmm, No. 123
**Uncorrected formation energy**: 11.2 kJ/mol of atoms

=====

(16)
Below is crystalline Ba2SrSe at its relaxed geometry, with properties calculated at the PBE-GGA level.

a = 4.1133 Å, b = 4.1133 Å, c = 11.0382 Å
α = 90.00°, β = 90.00°, γ = 90.00°
Element x y z (fractional)
Sr 0.5000 0.5000 0.5000
Ba 0.0000 0.0000 0.8285
Ba 0.0000 0.0000 0.1715
Se 0.5000 0.5000 0.0000

Results
**Space group**: P4/mmm, No. 123
**Uncorrected formation energy**: -81.2 kJ/mol of atoms

=====

(17)
Below is crystalline ScAg3Rh at its relaxed geometry, with properties calculated at the PBE-GGA level.

a = 4.9653 Å, b = 4.9653 Å, c = 4.9653 Å
α = 90.00°, β = 90.00°, γ = 90.00°
Element x y z (fractional)
Sc 0.5000 0.5000 0.5000
Rh 0.0000 0.0000 0.0000
Ag 0.0000 0.5000 0.0000
Ag 0.0000 0.0000 0.5000
Ag 0.5000 0.0000 0.0000

Results
**Space group**: Pm-3m, No. 221
**ΔH_f (0 K)**: 0.770 eV/atom

=====

(18)
Below is crystalline CaIO3 at its relaxed geometry, with properties calculated at the PBE-GGA level.

a = 4.2894 Å, b = 4.2894 Å, c = 4.2894 Å
α = 90.00°, β = 90.00°, γ = 90.00°
Site moments in Bohr magnetons follow the coordinates.
Element x y z (fractional)
I 0.5000 0.5000 0.5000  -0.01
Ca 0.0000 0.0000 0.0000  -0.02
O 0.0000 0.5000 0.0000  -0.16
O 0.0000 0.0000 0.5000  -0.36
O 0.5000 0.0000 0.0000  -0.08

Results
**Space group**: Pm-3m, No. 221
**Uncorrected formation energy**: -15.2 kJ/mol of atoms

=====

(19)
Below is crystalline KUCoN3 at its relaxed geometry, with properties calculated at the PBE-GGA level.

a = 3.5046 Å, b = 7.7241 Å, c = 7.9860 Å
α = 106.46°, β = 90.00°, γ = 90.00°
Site moments in Bohr magnetons follow the coordinates.
Element x y z (fractional)
K 0.2500 0.1993 0.2279  0.00
K 0.7500 0.8007 0.7721  0.00
U 0.2500 0.6691 0.1553  0.22
U 0.7500 0.3309 0.8447  0.22
Co 0.2500 0.0653 0.6019  0.65
Co 0.7500 0.9347 0.3981  0.65
N 0.7500 0.8350 0.1485  0.01
N 0.2500 0.1650 0.8515  0.01
N 0.2500 0.8470 0.4296  0.09
N 0.7500 0.1530 0.5704  0.09
N 0.7500 0.4792 0.1301  -0.01
N 0.2500 0.5208 0.8699  -0.01

Results
**Space group**: P2_1/m, No. 11
**Uncorrected formation energy**: -65.4 kJ/mol of atoms

=====

(20)
Below is crystalline MgTlW2 at its relaxed geometry, with properties calculated at the PBE-GGA level.

a = 4.6637 Å, b = 4.6637 Å, c = 4.6637 Å
α = 60.00°, β = 60.00°, γ = 60.00°
Element x y z (fractional)
Tl 0.5000 0.5000 0.5000
Mg 0.0000 0.0000 0.0000
W 0.2500 0.2500 0.2500
W 0.7500 0.7500 0.7500

Results
**Space group**: Fm-3m, No. 225
**ΔH_f (0 K)**: 1.231 eV/atom